1.
VASP calculation (GGA-PBE) on a relaxed Mg7GePd4 crystal.

```
Mg7GePd4
1.0
4.915 0.000 0.000
2.457 7.217 0.620
2.457 0.822 6.494
Ge Pd Mg
1 4 7
direct
0.000 0.000 0.000
0.691 0.645 0.973
0.309 0.355 0.027
0.437 0.754 0.372
0.563 0.246 0.628
0.933 0.388 0.746
0.212 0.120 0.457
0.788 0.880 0.543
0.270 0.686 0.774
0.500 0.000 0.000
0.067 0.612 0.254
0.730 0.314 0.226
```

Computed properties:
Energy of formation (kJ per mole of atoms): -33

2.
VASP calculation (GGA-PBE) on a relaxed Ac2Ge2Pb3 crystal.

```
Ac2Ge2Pb3
1.0
-4.389 1.276 -0.647
1.892 -4.158 -4.565
-2.263 -5.204 5.088
Ac Ge Pb
2 2 3
direct
0.374 0.748 0.673
0.626 0.252 0.327
0.088 0.176 0.616
0.912 0.824 0.384
0.683 0.365 0.849
0.000 0.000 0.000
0.317 0.635 0.151
```

Computed properties:
Energy relative to the lowest polymorph listed for this composition (meV per atom): 0.0
Energy of formation (kJ per mole of atoms): -44

3.
VASP calculation (GGA-PBE) on a relaxed Pa2NbAlN6 crystal.

```
Pa2NbAlN6
1.0
4.914 0.000 0.000
0.000 5.243 0.000
0.000 0.000 5.243
Nb Pa N Al
1 2 6 1
direct
0.574 0.500 0.500
0.991 0.500 0.000
0.991 0.000 0.500
0.197 0.000 0.000
0.732 0.753 0.247
0.732 0.753 0.753
0.183 0.500 0.500
0.732 0.247 0.753
0.732 0.247 0.247
0.580 0.000 0.000
```

Computed properties:
Uncorrected formation energy (eV/atom): -1.144

no.,electronic total energy (eV/f.u.)
1,-40.6
2,-31.8
3,-94.2